# 1
Below is an optimized crystal structure of FeNiMo, with properties calculated at the GGA-PBEsol level.

Properties
density of states at the Fermi level = 0.77 states/eV per atom
E_form = 0.056 eV/atom
volume = 73 Å³ per cell
total magnetization = 5.2 Bohr magnetons per cell
VASP energy = -53.44 eV/cell

Structure (CIF):
```
data_FeNiMo
_chemical_formula_sum 'Fe2 Ni2 Mo2'
_cell_length_a 2.549
_cell_length_b 2.549
_cell_length_c 11.260
_cell_angle_alpha 90.00
_cell_angle_beta 90.00
_cell_angle_gamma 90.00
_symmetry_space_group_name_H-M 'I 4 m m'
_symmetry_Int_Tables_number 107
_symmetry_space_group_name_Hall 'I 4 -2'
loop_
_atom_site_label
_atom_site_fract_x
_atom_site_fract_y
_atom_site_fract_z
_atom_site_occupancy
Fe1 0.000 0.000 0.000 1
Ni1 0.000 0.000 0.352 1
Mo1 0.000 0.000 0.681 1
```

# 2
Below is an optimized crystal structure of SrTa2Pb, with properties calculated at the GGA-PBEsol level.

Properties
density of states at the Fermi level = 1.37 states/eV per atom
E_form = 0.807 eV/atom
volume = 181 Å³ per cell
total magnetization = 0.0 Bohr magnetons per cell
VASP energy = -55.42 eV/cell

Structure (CIF):
```
data_SrTa2Pb
_chemical_formula_sum 'Sr2 Ta4 Pb2'
_cell_length_a 6.165
_cell_length_b 10.800
_cell_length_c 3.024
_cell_angle_alpha 90.00
_cell_angle_beta 116.29
_cell_angle_gamma 90.00
_symmetry_space_group_name_H-M 'C 1 2/m 1'
_symmetry_Int_Tables_number 12
_symmetry_space_group_name_Hall '-C 2y'
loop_
_atom_site_label
_atom_site_fract_x
_atom_site_fract_y
_atom_site_fract_z
_atom_site_occupancy
Sr1 0.000 0.000 0.000 1
Ta1 0.250 0.250 0.500 1
Pb1 0.000 0.500 0.000 1
```

> Which value of density of states at the Fermi level does entry 2 give?

1.37 states/eV per atom

> volume of number 1 (FeNiMo)?

73 Å³ per cell